An optimized crystal structure of Cd2ReSiPt, computed with PBE. Values from VASP.

```
&SYSTEM
  ibrav = 0, nat = 5, ntyp = 4
/
ATOMIC_SPECIES
Re 186.21 Re.upf
Si 28.09 Si.upf
Pt 195.08 Pt.upf
Cd 112.41 Cd.upf
CELL_PARAMETERS angstrom
5.183 0.000 0.000
0.000 4.486 0.000
0.000 0.000 5.183
ATOMIC_POSITIONS crystal
Re 0.500 0.500 0.500
Si 0.000 0.500 0.000
Pt 0.000 0.000 0.000
Cd 0.000 0.000 0.500
Cd 0.500 0.000 0.000
```

Computed properties:
The calculated total energy comes out at -4.055 eV/atom. Its uncorrected formation energy is 1.09 eV/atom. Its space group is P4/mmm. Its crystal system is tetragonal.

An optimized crystal structure of TaCdRe2Pt, computed with PBE. Values from VASP.

```
&SYSTEM
  ibrav = 0, nat = 5, ntyp = 4
/
ATOMIC_SPECIES
Re 186.21 Re.upf
Cd 112.41 Cd.upf
Pt 195.08 Pt.upf
Ta 180.95 Ta.upf
CELL_PARAMETERS angstrom
-0.419 -2.290 -4.163
-2.957 -3.178 2.045
-3.733 2.744 -1.134
ATOMIC_POSITIONS crystal
Re 0.000 0.000 0.500
Re 0.500 0.000 0.000
Cd 0.000 0.500 0.000
Pt 0.000 0.000 0.000
Ta 0.500 0.500 0.500
```

Computed properties:
The calculated total energy comes out at -6.733 eV/atom. Its space group is P4/mmm. Its crystal system is tetragonal.